Here is YHfScW2 after structural relaxation from the Alexandria database. Energies are from PBE.

## Properties
The calculation puts the formation energy at 8.62 eV/f.u. The calculation puts the spin magnetization at 0.0000 μB per atom. The total DFT energy (no corrections) comes out at -8.01 eV per atom.

Cell lengths 4.744, 4.993, 4.744 Å; angles 90.00, 90.00, 90.00 degrees
Fractional coordinates of all 5 atoms:
1 Y 0.000 0.500 0.000
2 Sc 0.000 0.000 0.000
3 Hf 0.500 0.500 0.500
4 W 0.000 0.000 0.500
5 W 0.500 0.000 0.000